A plane-wave DFT calculation with PBE-GGA was carried out for ZrAuC2 after structural relaxation.

Structure (extended XYZ):
```
4
Lattice="0.000 2.918 2.918 2.918 0.000 2.918 2.918 2.918 0.000" Properties=species:S:1:pos:R:3 pbc="T T T"
Zr 0.000 0.000 0.000
Au 2.918 2.918 2.918
C 1.459 1.459 1.459
C 4.376 4.376 4.376
```

## Properties
* energy above the lowest structure with this stoichiometry: 277 meV/atom
* SG: Fm-3m, No. 225

A plane-wave DFT calculation with PBE-GGA was carried out for Zr4AuC after structural relaxation.

Structure (extended XYZ):
```
12
Lattice="3.769 -6.563 0.000 3.769 6.563 0.000 -2.879 0.000 4.918" Properties=species:S:1:pos:R:3 pbc="T T T"
Zr 0.278 3.883 4.198
Zr -0.394 0.672 3.453
Zr 1.045 -0.672 0.994
Zr 2.941 3.883 3.179
Zr 1.717 -3.883 1.739
Zr 3.613 0.672 3.924
Zr 5.053 -0.672 1.465
Zr 4.381 -3.883 0.720
Au 3.049 1.488 1.229
Au 1.610 -1.488 3.688
C 1.610 5.736 3.688
C 3.049 -5.736 1.229
```

## Properties
* SG: C2/c, No. 15

A plane-wave DFT calculation with PBE-GGA was carried out for Zr3Au3C after structural relaxation.

Structure (extended XYZ):
```
28
Lattice="0.000 6.301 6.301 6.301 0.000 6.301 6.301 6.301 0.000" Properties=species:S:1:pos:R:3 pbc="T T T"
Zr 4.726 4.726 0.797
Zr 4.726 0.797 4.726
Zr 8.654 4.726 4.726
Zr 7.876 7.876 3.948
Zr 7.876 3.948 7.876
Zr 11.804 7.876 7.876
Zr 0.797 4.726 4.726
Zr 4.726 8.654 4.726
Zr 4.726 4.726 8.654
Zr 3.948 7.876 7.876
Zr 7.876 11.804 7.876
Zr 7.876 7.876 11.804
Au 6.301 3.150 3.150
Au 3.574 3.574 3.574
Au 5.878 5.878 3.574
Au 5.878 3.574 5.878
Au 9.028 6.724 6.724
Au 3.150 6.301 3.150
Au 3.150 3.150 6.301
Au 6.301 6.301 6.301
Au 3.574 5.878 5.878
Au 6.724 9.028 6.724
Au 6.724 6.724 9.028
Au 9.028 9.028 9.028
C 0.000 0.000 0.000
C 3.150 3.150 0.000
C 3.150 0.000 3.150
C 0.000 3.150 3.150
```

## Properties
* SG: Fd-3m, No. 227

A plane-wave DFT calculation with PBE-GGA was carried out for ZrAuC3 after structural relaxation.

Structure (extended XYZ):
```
5
Lattice="4.070 0.000 0.000 0.000 4.070 0.000 0.000 0.000 4.070" Properties=species:S:1:pos:R:3 pbc="T T T"
Zr 0.000 0.000 0.000
Au 2.035 2.035 2.035
C 0.000 2.035 2.035
C 2.035 0.000 2.035
C 2.035 2.035 0.000
```

## Properties
* energy above the lowest structure with this stoichiometry: 0 meV/atom
* SG: Pm-3m, No. 221

A plane-wave DFT calculation with PBE-GGA was carried out for Zr4Au2C after structural relaxation.

Structure (extended XYZ):
```
7
Lattice="-2.266 2.266 6.877 2.266 -2.266 6.877 2.266 2.266 -6.877" Properties=species:S:1:pos:R:3 pbc="T T T"
Zr 2.266 0.000 0.000
Zr 0.000 0.000 2.351
Zr 0.000 2.266 0.000
Zr 0.000 0.000 11.404
Au 0.000 0.000 5.057
Au 0.000 0.000 8.698
C 0.000 0.000 0.000
```

## Properties
* energy above the lowest structure with this stoichiometry: 9 meV/atom
* SG: I4/mmm, No. 139

A plane-wave DFT calculation with PBE-GGA was carried out for Zr5AuC after structural relaxation.

Structure (extended XYZ):
```
14
Lattice="5.187 -3.064 0.000 5.187 3.064 0.000 -3.391 0.000 8.941" Properties=species:S:1:pos:R:3 pbc="T T T"
Zr -0.020 1.045 5.623
Zr 2.644 2.833 6.706
Zr 0.689 1.138 8.670
Zr 1.675 -1.045 1.153
Zr 4.598 1.138 4.741
Zr 2.384 -1.138 4.200
Zr 5.308 1.045 7.788
Zr 6.294 -1.138 0.270
Zr 4.339 -2.833 2.235
Zr 7.003 -1.045 3.318
Au 4.339 0.034 2.235
Au 2.644 -0.034 6.706
C 0.000 0.000 0.000
C -1.695 0.000 4.470
```

## Properties
* SG: C2/c, No. 15

A plane-wave DFT calculation with PBE-GGA was carried out for ZrAuC2 after structural relaxation.

Structure (extended XYZ):
```
8
Lattice="-2.411 2.411 5.362 2.411 -2.411 5.362 2.411 2.411 -5.362" Properties=species:S:1:pos:R:3 pbc="T T T"
Zr 0.000 0.000 0.000
Zr 0.000 2.411 2.681
Au 2.411 0.000 2.681
Au 0.000 0.000 5.362
C 1.205 -1.141 4.022
C 1.270 1.205 1.341
C 1.205 3.552 -1.341
C 1.141 1.205 6.703
```

## Properties
* energy above the lowest structure with this stoichiometry: 0 meV/atom
* SG: I-42d, No. 122

A plane-wave DFT calculation with PBE-GGA was carried out for Zr4AuC2 after structural relaxation.

Structure (extended XYZ):
```
14
Lattice="1.714 -5.729 0.000 1.714 5.729 0.000 0.000 0.000 12.120" Properties=species:S:1:pos:R:3 pbc="T T T"
Zr 0.000 0.000 0.000
Zr 0.000 0.000 6.060
Zr 1.714 2.720 7.334
Zr 1.714 2.720 10.847
Zr 1.714 0.900 3.030
Zr 1.714 -0.900 9.090
Zr 1.714 -2.720 1.274
Zr 1.714 -2.720 4.787
Au 1.714 4.474 3.030
Au 1.714 -4.474 9.090
C 1.714 1.556 0.721
C 1.714 1.556 5.339
C 1.714 -1.556 6.781
C 1.714 -1.556 11.399
```

## Properties
* SG: Cmcm, No. 63

A plane-wave DFT calculation with PBE-GGA was carried out for Zr3AuC after structural relaxation.

Structure (extended XYZ):
```
10
Lattice="4.488 -6.182 0.000 4.488 6.182 0.000 0.000 0.000 3.391" Properties=species:S:1:pos:R:3 pbc="T T T"
Zr 2.693 1.626 1.696
Zr 4.488 3.728 0.000
Zr 2.693 -1.626 1.696
Zr 6.283 1.626 1.696
Zr 4.488 -3.728 0.000
Zr 6.283 -1.626 1.696
Au 0.000 0.000 1.696
Au 4.488 0.000 0.000
C 2.244 3.091 0.000
C 2.244 -3.091 0.000
```

## Properties
* energy above the lowest structure with this stoichiometry: 95 meV/atom
* SG: Cmmm, No. 65

A plane-wave DFT calculation with PBE-GGA was carried out for Zr3AuC after structural relaxation.

Structure (extended XYZ):
```
5
Lattice="4.531 0.000 0.000 0.000 4.531 0.000 0.000 0.000 4.531" Properties=species:S:1:pos:R:3 pbc="T T T"
Zr 0.000 0.000 2.266
Zr 0.000 2.266 0.000
Zr 2.266 0.000 0.000
Au 2.266 2.266 2.266
C 0.000 0.000 0.000
```

## Properties
* energy above the lowest structure with this stoichiometry: 100 meV/atom
* SG: Pm-3m, No. 221

A plane-wave DFT calculation with PBE-GGA was carried out for Zr3AuC after structural relaxation.

Structure (extended XYZ):
```
10
Lattice="1.702 -5.910 0.000 1.702 5.910 0.000 0.000 0.000 9.140" Properties=species:S:1:pos:R:3 pbc="T T T"
Zr 1.702 5.330 6.855
Zr 1.702 1.487 5.036
Zr 1.702 1.487 8.675
Zr 1.702 -1.487 0.466
Zr 1.702 -1.487 4.105
Zr 1.702 -5.330 2.285
Au 1.702 2.938 2.285
Au 1.702 -2.938 6.855
C 0.000 0.000 0.000
C 0.000 0.000 4.570
```

## Properties
* energy above the lowest structure with this stoichiometry: 0 meV/atom
* SG: Cmcm, No. 63

A plane-wave DFT calculation with PBE-GGA was carried out for Zr4Au2C after structural relaxation.

Structure (extended XYZ):
```
14
Lattice="7.647 0.000 0.000 0.000 10.624 0.000 0.000 0.000 3.394" Properties=species:S:1:pos:R:3 pbc="T T T"
Zr 1.069 1.989 0.000
Zr 1.379 9.940 1.697
Zr 2.444 4.628 1.697
Zr 2.754 7.301 0.000
Zr 4.893 3.323 0.000
Zr 5.203 5.996 1.697
Zr 6.268 0.684 1.697
Zr 6.578 8.635 0.000
Au 0.406 6.767 1.697
Au 3.417 1.455 1.697
Au 4.230 9.169 1.697
Au 7.241 3.857 1.697
C 0.000 0.000 0.000
C 3.824 5.312 0.000
```

## Properties
* energy above the lowest structure with this stoichiometry: 0 meV/atom
* SG: Pbam, No. 55

A plane-wave DFT calculation with PBE-GGA was carried out for Ca2Au after structural relaxation.

Structure (extended XYZ):
```
3
Lattice="0.000 3.622 3.622 3.622 0.000 3.622 3.622 3.622 0.000" Properties=species:S:1:pos:R:3 pbc="T T T"
Ca 1.811 1.811 1.811
Ca 5.433 5.433 5.433
Au 0.000 0.000 0.000
```

## Properties
* SG: Fm-3m, No. 225

A plane-wave DFT calculation with PBE-GGA was carried out for Ca3Au after structural relaxation.

Structure (extended XYZ):
```
8
Lattice="3.955 0.000 0.000 0.000 6.965 0.000 0.000 0.000 9.949" Properties=species:S:1:pos:R:3 pbc="T T T"
Ca 0.989 0.030 1.641
Ca 0.989 1.741 5.434
Ca 0.989 3.453 1.641
Ca 2.966 3.512 8.309
Ca 2.966 5.224 4.515
Ca 2.966 6.935 8.309
Au 0.989 5.224 6.767
Au 2.966 1.741 3.182
```

## Properties
* SG: Pmmn, No. 59

A plane-wave DFT calculation with PBE-GGA was carried out for CaAu12 after structural relaxation.

Structure (extended XYZ):
```
13
Lattice="0.000 5.726 5.726 5.726 0.000 5.726 5.726 5.726 0.000" Properties=species:S:1:pos:R:3 pbc="T T T"
Ca 0.000 0.000 0.000
Au 5.726 3.784 3.784
Au 7.669 5.726 3.784
Au 7.669 3.784 5.726
Au 3.784 5.726 3.784
Au 5.726 7.669 3.784
Au 3.784 3.784 5.726
Au 7.669 7.669 5.726
Au 5.726 3.784 7.669
Au 7.669 5.726 7.669
Au 3.784 7.669 5.726
Au 3.784 5.726 7.669
Au 5.726 7.669 7.669
```

## Properties
* energy above the lowest structure with this stoichiometry: 548 meV/atom
* SG: Fm-3m, No. 225

A plane-wave DFT calculation with PBE-GGA was carried out for CaAu11 after structural relaxation.

Structure (extended XYZ):
```
24
Lattice="-5.678 5.678 3.756 5.678 -5.678 3.756 5.678 5.678 -3.756" Properties=species:S:1:pos:R:3 pbc="T T T"
Ca 5.678 2.839 0.939
Ca 0.000 2.839 2.817
Au 0.000 0.000 0.000
Au 2.839 2.839 -1.878
Au 2.839 -2.839 1.878
Au 5.678 -2.839 2.817
Au 4.316 -0.506 1.309
Au 7.041 -0.506 1.309
Au 2.333 1.476 0.569
Au 9.024 1.476 0.569
Au 4.316 5.172 -1.309
Au 1.363 -0.506 2.447
Au 2.333 4.202 0.569
Au 3.346 -1.476 4.325
Au 0.000 5.678 0.000
Au 2.333 7.155 -0.569
Au 3.346 1.476 3.187
Au 4.316 6.185 1.309
Au 1.363 0.506 5.064
Au -3.346 4.202 3.187
Au 3.346 4.202 3.187
Au -1.363 6.185 2.447
Au 1.363 6.185 2.447
Au 0.000 8.517 0.939
```

## Properties
* SG: I4_1/amd, No. 141

A plane-wave DFT calculation with PBE-GGA was carried out for Ca2Au after structural relaxation.

Structure (extended XYZ):
```
6
Lattice="1.953 -6.698 0.000 1.953 6.698 0.000 0.000 0.000 7.083" Properties=species:S:1:pos:R:3 pbc="T T T"
Ca 1.953 6.477 3.541
Ca 1.953 2.924 4.813
Ca 1.953 -2.924 1.272
Ca 1.953 -6.477 0.000
Au 1.953 1.564 1.990
Au 1.953 -1.564 5.531
```

## Properties
* SG: Cmc2_1, No. 36

A plane-wave DFT calculation with PBE-GGA was carried out for Ca3Au after structural relaxation.

Structure (extended XYZ):
```
4
Lattice="3.760 0.000 0.000 0.000 3.760 0.000 0.000 0.000 9.177" Properties=species:S:1:pos:R:3 pbc="T T T"
Ca 0.000 0.000 0.000
Ca 1.880 1.880 2.888
Ca 1.880 1.880 6.289
Au 0.000 0.000 4.589
```

## Properties
* SG: P4/mmm, No. 123

A plane-wave DFT calculation with PBE-GGA was carried out for Ca3Au5 after structural relaxation.

Structure (extended XYZ):
```
16
Lattice="3.046 -7.930 0.000 3.046 7.930 0.000 -2.113 0.000 7.704" Properties=species:S:1:pos:R:3 pbc="T T T"
Ca 3.046 5.386 0.000
Ca -0.272 0.000 5.359
Ca 1.989 4.366 3.852
Ca 1.989 -4.366 3.852
Ca 4.251 0.000 2.345
Ca 3.046 -5.386 0.000
Au 0.881 1.518 2.911
Au 0.834 2.711 6.245
Au 1.665 0.000 0.587
Au 0.881 -1.518 2.911
Au 3.144 2.711 1.459
Au 0.834 -2.711 6.245
Au 3.098 1.518 4.792
Au 2.314 0.000 7.117
Au 3.144 -2.711 1.459
Au 3.098 -1.518 4.792
```

## Properties
* energy above the lowest structure with this stoichiometry: 105 meV/atom
* SG: C2/m, No. 12

A plane-wave DFT calculation with PBE-GGA was carried out for Ca3Au after structural relaxation.

Structure (extended XYZ):
```
4
Lattice="4.810 0.000 0.000 0.000 4.810 0.000 0.000 0.000 5.477" Properties=species:S:1:pos:R:3 pbc="T T T"
Ca 0.000 0.000 0.000
Ca 0.000 2.405 2.664
Ca 2.405 0.000 2.664
Au 2.405 2.405 0.592
```

## Properties
* SG: P4mm, No. 99

no.,calculated formation energy (meV per atom),magnetic moment (μB per formula unit)
1,1217,0.00
2,-340,0.00
3,-583,0.00
4,2362,0.00
5,-464,0.00
6,-273,0.00
7,940,0.00
8,-660,0.00
9,-551,0.00
10,-546,0.00
11,-646,0.00
12,-473,0.00
13,-553,0.00
14,-382,0.00
15,390,0.00
16,-151,0.00
17,-593,0.00
18,-411,0.00
19,-658,0.00
20,-267,0.00